1.
# Ba3Ir

A relaxed Ba3Ir crystal (PBE-GGA, Alexandria).

The total energy comes out at -14.77 eV/f.u. The calculation puts the density of states at the Fermi level at 8.35 states/eV/cell.

Cell lengths 4.263, 11.118, 7.976 Å; angles 90.00, 90.00, 90.00 degrees
Atoms (fractional coordinates):
1 Ir 0.500 0.691 0.500
2 Ir 0.000 0.309 0.000
3 Ba 0.500 0.184 0.768
4 Ba 0.000 0.816 0.268
5 Ba 0.500 0.184 0.232
6 Ba 0.500 0.511 0.000
7 Ba 0.000 0.489 0.500
8 Ba 0.000 0.816 0.732

=====

2.
# BaIr3

A relaxed BaIr3 crystal (PBE-GGA, Alexandria).

The total energy comes out at -24.93 eV/f.u. The calculation puts the density of states at the Fermi level at 4.16 states/eV/cell.

Cell lengths 4.258, 4.258, 4.258 Å; angles 90.00, 90.00, 90.00 degrees
Atoms (fractional coordinates):
1 Ir 0.000 0.500 0.500
2 Ir 0.500 0.000 0.500
3 Ba 0.000 0.000 0.000
4 Ir 0.500 0.500 0.000

=====

3.
# BaIr

A relaxed BaIr crystal (PBE-GGA, Alexandria).

The total energy comes out at -9.47 eV/f.u. The calculation puts the density of states at the Fermi level at 13.03 states/eV/cell.

Cell lengths 6.078, 6.078, 6.078 Å; angles 90.00, 90.00, 90.00 degrees
Atoms (fractional coordinates):
1 Ba 0.918 0.082 0.582
2 Ba 0.082 0.582 0.918
3 Ir 0.406 0.906 0.594
4 Ba 0.582 0.918 0.082
5 Ir 0.594 0.406 0.906
6 Ir 0.906 0.594 0.406
7 Ir 0.094 0.094 0.094
8 Ba 0.418 0.418 0.418

=====

4.
# BaIr3

A relaxed BaIr3 crystal (PBE-GGA, Alexandria).

The total energy comes out at -27.96 eV/f.u. The calculation puts the density of states at the Fermi level at 16.52 states/eV/cell.

Cell lengths 6.434, 7.828, 6.911 Å; angles 90.00, 90.00, 90.00 degrees
Atoms (fractional coordinates):
1 Ir 0.930 0.859 0.434
2 Ir 0.430 0.641 0.566
3 Ba 0.624 0.017 0.750
4 Ir 0.430 0.641 0.934
5 Ir 0.158 0.850 0.750
6 Ba 0.876 0.517 0.750
7 Ir 0.070 0.141 0.934
8 Ir 0.842 0.150 0.250
9 Ba 0.124 0.483 0.250
10 Ir 0.658 0.650 0.250
11 Ba 0.376 0.983 0.250
12 Ir 0.342 0.350 0.750
13 Ir 0.070 0.141 0.566
14 Ir 0.930 0.859 0.066
15 Ir 0.570 0.359 0.066
16 Ir 0.570 0.359 0.434

=====

5.
# BaIr4

A relaxed BaIr4 crystal (PBE-GGA, Alexandria).

The total energy comes out at -35.62 eV/f.u. The energy above the most stable polymorph in this dataset is 0.000 eV per atom. The calculation puts the density of states at the Fermi level at 6.83 states/eV/cell.

Cell lengths 5.866, 5.866, 5.866 Å; angles 93.29, 93.29, 152.29 degrees
Atoms (fractional coordinates):
1 Ba 0.000 0.000 0.000
2 Ir 0.847 0.356 0.203
3 Ir 0.356 0.153 0.510
4 Ir 0.153 0.644 0.797
5 Ir 0.644 0.847 0.490

=====

6.
# Ba2Ir3

A relaxed Ba2Ir3 crystal (PBE-GGA, Alexandria).

The total energy comes out at -30.86 eV/f.u. The calculation puts the density of states at the Fermi level at 9.68 states/eV/cell.

Cell lengths 9.576, 8.738, 5.918 Å; angles 79.04, 63.61, 37.35 degrees
Atoms (fractional coordinates):
1 Ba 0.973 0.436 0.854
2 Ir 0.356 0.892 0.957
3 Ir 0.139 0.861 0.861
4 Ir 0.293 0.455 0.894
5 Ir 0.795 0.957 0.892
6 Ba 0.737 0.854 0.436
7 Ir 0.389 0.111 0.111
8 Ir 0.358 0.894 0.455
9 Ba 0.814 0.277 0.513
10 Ba 0.396 0.513 0.277

=====

7.
# Ba3Ir

A relaxed Ba3Ir crystal (PBE-GGA, Alexandria).

The total energy comes out at -13.06 eV/f.u. The calculation puts the density of states at the Fermi level at 8.08 states/eV/cell.

Cell lengths 6.580, 6.580, 6.580 Å; angles 90.00, 90.00, 90.00 degrees
Atoms (fractional coordinates):
1 Ir 0.500 0.500 0.500
2 Ba 0.000 0.750 0.500
3 Ba 0.000 0.250 0.500
4 Ir 0.000 0.000 0.000
5 Ba 0.500 0.000 0.250
6 Ba 0.750 0.500 0.000
7 Ba 0.500 0.000 0.750
8 Ba 0.250 0.500 0.000

=====

8.
# Ba2Ir

A relaxed Ba2Ir crystal (PBE-GGA, Alexandria).

The total energy comes out at -12.67 eV/f.u. The calculation puts the density of states at the Fermi level at 4.96 states/eV/cell.

Cell lengths 16.378, 16.373, 16.373 Å; angles 166.46, 166.45, 19.20 degrees
Atoms (fractional coordinates):
1 Ir 0.125 0.375 0.750
2 Ba 0.321 0.070 0.250
3 Ir 0.875 0.625 0.250
4 Ba 0.429 0.180 0.249
5 Ba 0.571 0.820 0.751
6 Ba 0.679 0.930 0.750